{"formula": "La2DyY4Er2", "functional": "GGA-PBE", "state": "optimized geometry", "cell": [[3.6268, 0.0000, 0.0000], [-1.8134, 9.3783, -0.5062], [0.0000, -3.7021, 8.8747]], "species": ["Y", "Y", "Y", "Dy", "Er", "La", "Y", "La", "Er"], "fractional_positions": [[0.4799, 0.9599, 0.6626], [0.1861, 0.3722, 0.3365], [0.5201, 0.0401, 0.3374], [0.0000, 0.0000, 0.0000], [0.1473, 0.2947, 0.6623], [0.6653, 0.3306, 0.9962], [0.8139, 0.6278, 0.6635], [0.3347, 0.6694, 0.0038], [0.8527, 0.7053, 0.3377]], "rho_g_cm3": 6.362, "volume_a3_per_cell": 295.1, "ef_ev_per_atom": -0.002}

{"formula": "Ag2Pd2F", "functional": "GGA-PBE", "state": "optimized geometry", "cell": [[3.5909, 0.0000, 0.0000], [0.0000, 3.5909, 0.0000], [1.7955, 1.7955, 7.2116]], "species": ["Pd", "F", "Ag", "Ag", "Pd"], "fractional_positions": [[0.2500, 0.7500, 0.5000], [0.0000, 0.0000, 0.0000], [0.4038, 0.4038, 0.1924], [0.5962, 0.5962, 0.8076], [0.7500, 0.2500, 0.5000]], "rho_g_cm3": 7.992, "polymorph_energy_mev_per_atom": 0.0, "formation_energy_uncorrected_ev_per_atom": -0.01, "volume_a3_per_cell": 93.0}

{"formula": "Na6Tl3Cd2", "functional": "GGA-PBE", "state": "optimized geometry", "cell": [[-2.4819, 4.7784, 0.5962], [-5.2767, -0.4773, -1.1303], [-19.7490, 7.0910, 10.3817]], "species": ["Tl", "Tl", "Na", "Na", "Na", "Na", "Tl", "Na", "Na", "Cd", "Cd"], "fractional_positions": [[0.0000, 0.0000, 0.0000], [0.8131, 0.8131, 0.3701], [0.1690, 0.6740, 0.1457], [0.3230, 0.3230, 0.4347], [0.6770, 0.6770, 0.5653], [0.6739, 0.1690, 0.1457], [0.1869, 0.1869, 0.6299], [0.8310, 0.3260, 0.8543], [0.3261, 0.8310, 0.8543], [0.3243, 0.3243, 0.2957], [0.6757, 0.6757, 0.7043]], "rho_g_cm3": 4.868, "polymorph_energy_mev_per_atom": 0.0, "volume_a3_per_cell": 332.9, "ef_ev_per_atom": -0.031}

{"formula": "BeNbAl", "functional": "GGA-PBE", "state": "optimized geometry", "cell": [[-3.4193, 3.4513, -1.0780], [-0.9387, -1.8703, -3.0106], [-5.9753, -5.0539, 5.0027]], "species": ["Al", "Nb", "Nb", "Be", "Nb", "Be", "Al", "Be", "Al", "Be", "Al", "Nb"], "fractional_positions": [[0.6743, 0.5000, 0.1065], [0.7373, 0.5000, 0.8127], [0.2104, 0.0000, 0.7419], [0.2659, 0.5000, 0.9362], [0.7373, 0.0000, 0.3127], [0.4803, 0.5000, 0.4907], [0.9987, 0.0000, 0.0188], [0.2659, 0.0000, 0.4362], [0.6743, 0.0000, 0.6065], [0.4803, 0.0000, 0.9907], [0.9987, 0.5000, 0.5188], [0.2104, 0.5000, 0.2419]], "rho_g_cm3": 5.059, "polymorph_energy_mev_per_atom": 176.5, "volume_a3_per_cell": 169.2, "ef_ev_per_atom": -0.178}

{"formula": "ZrScIn2", "functional": "GGA-PBE", "state": "optimized geometry", "cell": [[3.3232, 0.0000, 0.0000], [1.6616, 2.8780, 0.0000], [1.6616, 0.9593, 9.8624]], "species": ["Zr", "In", "Sc", "In"], "fractional_positions": [[0.4998, 0.4998, 0.5006], [0.0822, 0.0822, 0.7533], [0.6672, 0.6672, 0.9985], [0.2508, 0.2508, 0.2476]], "rho_g_cm3": 6.440, "polymorph_energy_mev_per_atom": 151.5, "volume_a3_per_cell": 94.3, "ef_ev_per_atom": -0.221}

{"formula": "Ca2B2AsRh5", "functional": "GGA-PBE", "state": "optimized geometry", "cell": [[3.0466, 0.0000, 0.0000], [0.0000, 9.6775, 0.0000], [0.0000, 0.0000, 9.6775]], "species": ["Rh", "Rh", "Rh", "B", "Ca", "As", "B", "Rh", "B", "Ca", "Rh", "Rh", "Rh", "Ca", "B", "Rh", "Rh", "As", "Rh", "Ca"], "fractional_positions": [[0.5000, 0.7199, 0.4304], [0.5000, 0.5696, 0.7199], [0.5000, 0.9304, 0.2199], [0.0000, 0.3778, 0.1222], [0.0000, 0.6763, 0.1763], [0.0000, 0.5000, 0.5000], [0.0000, 0.8778, 0.3778], [0.5000, 0.0000, 0.5000], [0.0000, 0.6222, 0.8778], [0.0000, 0.1763, 0.3237], [0.5000, 0.4304, 0.2801], [0.5000, 0.5000, 0.0000], [0.5000, 0.2199, 0.0696], [0.0000, 0.8237, 0.6763], [0.0000, 0.1222, 0.6222], [0.5000, 0.0696, 0.7801], [0.5000, 0.2801, 0.5696], [0.0000, 0.0000, 0.0000], [0.5000, 0.7801, 0.9304], [0.0000, 0.3237, 0.8237]], "rho_g_cm3": 8.046, "volume_a3_per_cell": 285.3, "ef_ev_per_atom": -0.582}